a.
LiHgMoIr | OQMD via LeMat-Bulk | GGA-PBE | relaxed; space-group type = No. 216; spin magnetization = 0.00 Bohr magnetons per cell
1.0
0.000 3.143 3.143
3.143 0.000 3.143
3.143 3.143 0.000
Hg Ir Li Mo
1 1 1 1
Cartesian
0.000 0.000 0.000
1.572 1.572 1.572
4.715 4.715 4.715
3.143 3.143 3.143

---

b.
LiHgMoIr | OQMD via LeMat-Bulk | GGA-PBE | relaxed; space-group type = No. 216; spin magnetization = 0.28 Bohr magnetons per cell
1.0
0.000 3.152 3.152
3.152 0.000 3.152
3.152 3.152 0.000
Hg Ir Li Mo
1 1 1 1
Cartesian
1.576 1.576 1.576
0.000 0.000 0.000
4.729 4.729 4.729
3.152 3.152 3.152

---

Top of the stability list: a, leading by 0.500 eV/atom.

---

a.
MgTaHgIr | OQMD via LeMat-Bulk | GGA-PBE | relaxed; space-group type = No. 216; spin magnetization = 0.00 Bohr magnetons per cell
1.0
0.000 3.246 3.246
3.246 0.000 3.246
3.246 3.246 0.000
Hg Ir Mg Ta
1 1 1 1
Cartesian
0.000 0.000 0.000
1.623 1.623 1.623
4.869 4.869 4.869
3.246 3.246 3.246

---

b.
MgTaHgIr | OQMD via LeMat-Bulk | GGA-PBE | relaxed; space-group type = No. 216; spin magnetization = 0.00 Bohr magnetons per cell
1.0
0.888 1.321 4.316
1.730 4.183 0.815
-2.607 3.217 2.003
Hg Ir Mg Ta
1 1 1 1
Cartesian
0.003 2.180 1.783
0.000 0.000 0.000
0.008 6.541 5.350
0.005 4.360 3.567

---

Top of the stability list: a, leading by 0.384 eV/atom.

---

a.
HgIrNO | OQMD via LeMat-Bulk | GGA-PBE | relaxed; space-group type = No. 35; spin magnetization = 0.00 Bohr magnetons per cell
1.0
-1.531 0.524 -3.587
-1.694 -3.546 0.213
-5.806 2.949 2.909
Hg Ir N O
2 2 2 2
Cartesian
-1.715 -0.294 -0.388
-7.329 0.226 -0.071
-4.469 0.978 -1.185
-4.551 -1.057 0.715
-4.647 -1.136 -1.415
-4.376 1.057 0.945
-1.576 -0.489 -2.636
-1.657 -2.527 -0.732

---

b.
HgIrNO | OQMD via LeMat-Bulk | GGA-PBE | relaxed; space-group type = No. 26; spin magnetization = 0.00 Bohr magnetons per cell
1.0
-1.866 -3.233 0.000
0.000 0.000 5.179
-5.855 3.380 0.000
Hg Ir N O
2 2 2 2
Cartesian
-1.447 -1.320 5.170
-6.274 1.467 2.581
-2.428 1.402 2.527
-3.427 1.979 5.117
-1.940 1.120 4.345
-3.915 2.261 1.756
-2.946 -0.454 2.219
-4.775 0.602 4.808

---

Top of the stability list: b, leading by 0.365 eV/atom.